Entry 1:
# PBE Cs3Rb2PuF9, relaxed
data_Cs3Rb2PuF9
_chemical_formula_sum 'Cs3 Rb2 Pu1 F9'
_cell_length_a 7.1976
_cell_length_b 7.1976
_cell_length_c 8.8003
_cell_angle_alpha 90.00
_cell_angle_beta 90.00
_cell_angle_gamma 120.00
_symmetry_space_group_name_H-M 'P -3 m 1'
_symmetry_Int_Tables_number 164
_symmetry_space_group_name_Hall '-P 3 2"'
loop_
_atom_site_label
_atom_site_fract_x
_atom_site_fract_y
_atom_site_fract_z
_atom_site_occupancy
Cs1 0.0000 0.0000 0.0000 1
Cs2 0.3333 0.6667 0.7710 1
Rb1 0.3333 0.6667 0.1982 1
Pu1 0.0000 0.0000 0.5000 1
F1 0.0000 0.5000 0.0000 1
F2 0.1386 0.2772 0.3531 1
# raw formation energy	-2.999	eV per atom
# VASP energy	-0.3952	Ry per atom
# crystal system	trigonal


Entry 2:
# PBE Cs2RbPuF8, relaxed
data_Cs2RbPuF8
_chemical_formula_sum 'Cs4 Rb2 Pu2 F16'
_cell_length_a 6.497
_cell_length_b 6.497
_cell_length_c 12.334
_cell_angle_alpha 90.00
_cell_angle_beta 90.00
_cell_angle_gamma 90.00
_symmetry_space_group_name_H-M 'I -4 m 2'
_symmetry_Int_Tables_number 119
_symmetry_space_group_name_Hall 'I -4 -2'
loop_
_atom_site_label
_atom_site_fract_x
_atom_site_fract_y
_atom_site_fract_z
_atom_site_occupancy
Cs1 0.000 0.000 0.000 1
Cs2 0.000 0.500 0.250 1
Rb1 0.000 0.000 0.500 1
Pu1 0.000 0.500 0.750 1
F1 0.194 0.302 0.647 1
# raw formation energy	-3.032	eV per atom
# VASP energy	-0.4187	Ry per atom
# crystal system	tetragonal


Entry 3:
# PBE CsPuSF2, relaxed
data_CsPuSF2
_chemical_formula_sum 'Cs4 Pu4 S4 F8'
_cell_length_a 4.018
_cell_length_b 15.514
_cell_length_c 7.969
_cell_angle_alpha 90.00
_cell_angle_beta 90.00
_cell_angle_gamma 90.00
_symmetry_space_group_name_H-M 'C m c m'
_symmetry_Int_Tables_number 63
_symmetry_space_group_name_Hall '-C 2c 2'
loop_
_atom_site_label
_atom_site_fract_x
_atom_site_fract_y
_atom_site_fract_z
_atom_site_occupancy
Cs1 0.000 0.231 0.250 1
Pu1 0.000 0.500 0.000 1
S1 0.000 0.012 0.750 1
F1 0.000 0.358 0.529 1
# raw formation energy	-2.630	eV per atom
# VASP energy	-0.5322	Ry per atom
# crystal system	orthorhombic


Entry 4:
# PBE Cs2PuS2F4, relaxed
data_Cs2PuS2F4
_chemical_formula_sum 'Cs4 Pu2 S4 F8'
_cell_length_a 7.325
_cell_length_b 7.325
_cell_length_c 9.389
_cell_angle_alpha 90.00
_cell_angle_beta 90.00
_cell_angle_gamma 90.00
_symmetry_space_group_name_H-M 'I 4/m m m'
_symmetry_Int_Tables_number 139
_symmetry_space_group_name_Hall '-I 4 2'
loop_
_atom_site_label
_atom_site_fract_x
_atom_site_fract_y
_atom_site_fract_z
_atom_site_occupancy
Cs1 0.000 0.500 0.250 1
Pu1 0.000 0.000 0.000 1
S1 0.000 0.000 0.257 1
F1 0.205 0.205 0.000 1
# raw formation energy	-2.274	eV per atom
# VASP energy	-0.4267	Ry per atom
# crystal system	tetragonal


Entry 5:
# PBE CsPuScF6, relaxed
data_CsPuScF6
_chemical_formula_sum 'Cs4 Pu4 Sc4 F24'
_cell_length_a 7.497
_cell_length_b 8.210
_cell_length_c 11.407
_cell_angle_alpha 90.00
_cell_angle_beta 90.00
_cell_angle_gamma 90.00
_symmetry_space_group_name_H-M 'I m m a'
_symmetry_Int_Tables_number 74
_symmetry_space_group_name_Hall '-I 2b 2'
loop_
_atom_site_label
_atom_site_fract_x
_atom_site_fract_y
_atom_site_fract_z
_atom_site_occupancy
Cs1 0.000 0.250 0.140 1
Pu1 0.250 0.250 0.750 1
Sc1 0.000 0.000 0.500 1
F1 0.000 0.250 0.477 1
F2 0.000 0.250 0.880 1
F3 0.192 0.011 0.626 1
# raw formation energy	-3.440	eV per atom
# VASP energy	-0.5202	Ry per atom
# crystal system	orthorhombic


Entry 6:
# PBE CsPuSeF2, relaxed
data_CsPuSeF2
_chemical_formula_sum 'Cs4 Pu4 Se4 F8'
_cell_length_a 4.190
_cell_length_b 15.139
_cell_length_c 8.292
_cell_angle_alpha 90.00
_cell_angle_beta 90.00
_cell_angle_gamma 90.00
_symmetry_space_group_name_H-M 'C m c m'
_symmetry_Int_Tables_number 63
_symmetry_space_group_name_Hall '-C 2c 2'
loop_
_atom_site_label
_atom_site_fract_x
_atom_site_fract_y
_atom_site_fract_z
_atom_site_occupancy
Cs1 0.000 0.234 0.250 1
Pu1 0.000 0.500 0.000 1
Se1 0.000 0.022 0.750 1
F1 0.000 0.356 0.540 1
# raw formation energy	-2.585	eV per atom
# VASP energy	-0.5194	Ry per atom
# crystal system	orthorhombic


Entry 7:
# PBE CsSrPuF6, relaxed
data_CsSrPuF6
_chemical_formula_sum 'Cs4 Sr4 Pu4 F24'
_cell_length_a 8.585
_cell_length_b 8.838
_cell_length_c 12.517
_cell_angle_alpha 90.00
_cell_angle_beta 90.00
_cell_angle_gamma 90.00
_symmetry_space_group_name_H-M 'I m m a'
_symmetry_Int_Tables_number 74
_symmetry_space_group_name_Hall '-I 2b 2'
loop_
_atom_site_label
_atom_site_fract_x
_atom_site_fract_y
_atom_site_fract_z
_atom_site_occupancy
Cs1 0.000 0.250 0.059 1
Sr1 0.250 0.250 0.750 1
Pu1 0.000 0.000 0.500 1
F1 0.000 0.250 0.444 1
F2 0.000 0.250 0.832 1
F3 0.197 0.056 0.615 1
# raw formation energy	-3.474	eV per atom
# VASP energy	-0.4848	Ry per atom
# crystal system	orthorhombic


Entry 8:
# PBE Cs2PuTi3F12, relaxed
data_Cs2PuTi3F12
_chemical_formula_sum 'Cs6 Pu3 Ti9 F36'
_cell_length_a 7.7856
_cell_length_b 7.7856
_cell_length_c 18.6897
_cell_angle_alpha 90.00
_cell_angle_beta 90.00
_cell_angle_gamma 120.00
_symmetry_space_group_name_H-M 'R -3 m'
_symmetry_Int_Tables_number 166
_symmetry_space_group_name_Hall '-R 3 2"'
loop_
_atom_site_label
_atom_site_fract_x
_atom_site_fract_y
_atom_site_fract_z
_atom_site_occupancy
Cs1 0.0000 0.0000 0.1156 1
Pu1 0.0000 0.0000 0.5000 1
Ti1 0.0000 0.5000 0.0000 1
F1 0.0178 0.5089 0.1091 1
F2 0.0761 0.5380 0.3404 1
# raw formation energy	-3.149	eV per atom
# VASP energy	-0.4854	Ry per atom
# crystal system	trigonal


Entry 9:
# PBE CsPuTl2F6, relaxed
data_CsPuTl2F6
_chemical_formula_sum 'Cs2 Pu2 Tl4 F12'
_cell_length_a 6.732
_cell_length_b 7.315
_cell_length_c 11.653
_cell_angle_alpha 90.00
_cell_angle_beta 123.90
_cell_angle_gamma 90.00
_symmetry_space_group_name_H-M 'P 1 21/c 1'
_symmetry_Int_Tables_number 14
loop_
_symmetry_equiv_pos_as_xyz
'x,y,z'
'-x,-y,-z'
'-x,y+1/2,-z+1/2'
'x,-y+1/2,z+1/2'
loop_
_atom_site_label
_atom_site_fract_x
_atom_site_fract_y
_atom_site_fract_z
_atom_site_occupancy
Cs1 0.000 0.000 0.000 1
Pu1 0.500 0.000 0.500 1
Tl1 0.220 0.033 0.727 1
F1 0.170 0.141 0.476 1
F2 0.242 0.742 0.896 1
F3 0.422 0.098 0.291 1
# raw formation energy	-2.701	eV per atom
# VASP energy	-0.4274	Ry per atom
# crystal system	monoclinic


Entry 10:
# PBE Cs4PuTl3F12, relaxed
data_Cs4PuTl3F12
_chemical_formula_sum 'Cs8 Pu2 Tl6 F24'
_cell_length_a 9.909
_cell_length_b 9.909
_cell_length_c 9.909
_cell_angle_alpha 90.00
_cell_angle_beta 90.00
_cell_angle_gamma 90.00
_symmetry_space_group_name_H-M 'I m -3 m'
_symmetry_Int_Tables_number 229
_symmetry_space_group_name_Hall '-I 4 2 3'
loop_
_atom_site_label
_atom_site_fract_x
_atom_site_fract_y
_atom_site_fract_z
_atom_site_occupancy
Cs1 0.250 0.250 0.250 1
Pu1 0.000 0.000 0.000 1
Tl1 0.000 0.000 0.500 1
F1 0.000 0.000 0.219 1
F2 0.000 0.250 0.500 1
# raw formation energy	-2.580	eV per atom
# VASP energy	-0.3635	Ry per atom
# crystal system	cubic


Entry 11:
# PBE CsPuTlF6, relaxed
data_CsPuTlF6
_chemical_formula_sum 'Cs1 Pu1 Tl1 F6'
_cell_length_a 6.8982
_cell_length_b 6.8982
_cell_length_c 5.5283
_cell_angle_alpha 90.00
_cell_angle_beta 90.00
_cell_angle_gamma 120.00
_symmetry_space_group_name_H-M 'P 3 1 2'
_symmetry_Int_Tables_number 149
loop_
_symmetry_equiv_pos_as_xyz
'x,y,z'
'-y,x-y,z'
'-x+y,-x,z'
'-y,-x,-z'
'-x+y,y,-z'
'x,x-y,-z'
loop_
_atom_site_label
_atom_site_fract_x
_atom_site_fract_y
_atom_site_fract_z
_atom_site_occupancy
Cs1 0.0000 0.0000 0.0000 1
Pu1 0.6667 0.3333 0.5000 1
Tl1 0.3333 0.6667 0.5000 1
F1 0.4057 0.0670 0.7126 1
# raw formation energy	-3.012	eV per atom
# VASP energy	-0.4564	Ry per atom
# crystal system	trigonal


Entry 12:
# PBE CsPuTl2F8, relaxed
data_CsPuTl2F8
_chemical_formula_sum 'Cs1 Pu1 Tl2 F8'
_cell_length_a 4.920
_cell_length_b 6.604
_cell_length_c 8.778
_cell_angle_alpha 90.04
_cell_angle_beta 90.05
_cell_angle_gamma 95.33
_symmetry_space_group_name_H-M 'P -1'
_symmetry_Int_Tables_number 2
loop_
_symmetry_equiv_pos_as_xyz
'x,y,z'
'-x,-y,-z'
loop_
_atom_site_label
_atom_site_fract_x
_atom_site_fract_y
_atom_site_fract_z
_atom_site_occupancy
Cs1 0.000 0.000 0.000 1
Pu1 0.000 0.000 0.500 1
Tl1 0.500 0.500 0.226 1
F1 0.106 0.806 0.325 1
F2 0.106 0.806 0.675 1
F3 0.369 0.177 0.500 1
F4 0.484 0.722 0.000 1
# raw formation energy	-2.674	eV per atom
# VASP energy	-0.4102	Ry per atom
# crystal system	triclinic


Entry 13:
# PBE Cs2PuTlF8, relaxed
data_Cs2PuTlF8
_chemical_formula_sum 'Cs4 Pu2 Tl2 F16'
_cell_length_a 6.496
_cell_length_b 6.496
_cell_length_c 12.256
_cell_angle_alpha 90.00
_cell_angle_beta 90.00
_cell_angle_gamma 90.00
_symmetry_space_group_name_H-M 'I -4 m 2'
_symmetry_Int_Tables_number 119
_symmetry_space_group_name_Hall 'I -4 -2'
loop_
_atom_site_label
_atom_site_fract_x
_atom_site_fract_y
_atom_site_fract_z
_atom_site_occupancy
Cs1 0.000 0.000 0.000 1
Cs2 0.000 0.500 0.250 1
Pu1 0.000 0.500 0.750 1
Tl1 0.000 0.000 0.500 1
F1 0.193 0.301 0.646 1
# raw formation energy	-2.857	eV per atom
# VASP energy	-0.4144	Ry per atom
# crystal system	tetragonal